Entry 1:
Computed, not measured: a geometry-optimized Pr10TmSc4 structure at the PBE level of DFT.

Results
DOS(E_F): 0.9726 states/eV per atom
energy of formation: 7.62 eV/f.u.
final energy: -4.67 eV/atom

a = 11.302 Å, b = 11.302 Å, c = 8.263 Å
α = 90.00°, β = 90.00°, γ = 90.00°
Space group I4/m (No. 87)
Symmetry-distinct sites (fractional):
Pr: 0.000 0.500 0.250 x4
Pr: 0.115 0.771 0.195 x16
Tm: 0.000 0.000 0.000 x2
Sc: 0.066 0.210 0.500 x8

***

Entry 2:
Computed, not measured: a geometry-optimized PrTm6Sc structure at the PBE level of DFT.

Results
DOS(E_F): 1.5301 states/eV per atom
distance to the lowest polymorph of the same formula: 194 meV per atom
energy of formation: 1.86 eV/f.u.
final energy: -4.51 eV/atom

a = 6.433 Å, b = 11.572 Å, c = 6.554 Å
α = 90.00°, β = 91.43°, γ = 90.00°
Space group C2/m (No. 12)
Symmetry-distinct sites (fractional):
Pr: 0.000 0.000 0.000 x2
Tm: 0.016 0.500 0.746 x4
Tm: 0.187 0.232 0.742 x8
Sc: 0.000 0.000 0.500 x2